This record from Alexandria via LeMat-Bulk describes a relaxed Ba19Hg4Pt6 crystal. The functional is PBE-GGA.

extended XYZ file:
```
29
Lattice="-7.131 7.131 7.131 7.131 -7.131 7.131 7.131 7.131 -7.131" Properties=species:S:1:pos:R:3 pbc="T T T"
Ba 0.000 0.000 0.000
Ba 5.033 0.000 0.000
Ba 9.229 0.000 0.000
Ba 6.710 3.071 -2.672
Ba 9.803 -0.421 4.060
Ba 3.071 -2.672 6.710
Ba 4.460 0.421 4.060
Ba 4.060 4.460 0.421
Ba 0.000 5.033 0.000
Ba 0.000 0.000 5.033
Ba 7.552 3.071 2.672
Ba 0.421 4.060 4.460
Ba 0.000 9.229 0.000
Ba 0.000 0.000 9.229
Ba 4.060 9.803 -0.421
Ba -2.672 6.710 3.071
Ba 3.071 2.672 7.552
Ba 2.672 7.552 3.071
Ba -0.421 4.060 9.803
Hg 5.109 5.109 -5.109
Hg 5.109 -5.109 5.109
Hg 2.022 2.022 2.022
Hg -5.109 5.109 5.109
Pt 7.131 0.000 2.375
Pt 7.131 4.756 0.000
Pt 2.375 7.131 0.000
Pt 4.756 0.000 7.131
Pt 0.000 2.375 7.131
Pt 0.000 7.131 4.756
```

Calculated values
Magnetic moment: 0.00 Bohr magnetons per cell
Formation enthalpy at 0 K: -438 meV/atom